No. 1
MnBeCo | the Alexandria database | meta-GGA SCAN | single point on PBEsol structure; energy relative to the elements = -53.1 meV/atom; energy above the most stable polymorph in this dataset = 0.000 eV/atom; E_tot = -40.1 eV per formula unit
1.0
2.489 0.000 0.000
0.000 2.489 0.000
-1.245 -1.245 4.404
Be Mn Co
1 1 1
Cartesian
0.000 0.000 0.048
0.000 0.000 2.961
1.245 1.245 1.395

---

No. 2
PrGa4Os | the Alexandria database | meta-GGA SCAN | single point on PBEsol structure; energy relative to the elements = -569.9 meV/atom; E_tot = -184.0 eV per formula unit
1.0
-7.564 0.467 0.770
-0.541 -8.702 -0.038
0.967 -0.102 9.565
Pr Ga Os
6 24 6
Cartesian
-4.690 -4.110 7.678
-2.448 -4.227 2.619
-0.891 -6.533 7.268
-6.247 -1.804 3.028
-0.620 -2.173 7.287
-6.518 -6.164 3.009
-6.068 -6.314 6.101
-1.070 -2.023 4.195
-5.445 -1.774 9.472
-1.354 -6.599 4.176
-1.693 -6.563 0.825
-5.783 -1.738 6.121
-1.409 -1.988 0.844
-5.729 -6.349 9.452
-5.848 0.330 7.843
-0.749 0.036 2.492
-4.945 0.303 1.097
-1.652 0.063 9.237
-4.580 0.264 4.704
-2.016 0.101 5.631
-3.870 -7.158 7.563
-3.267 -1.179 2.734
-3.499 -1.186 7.589
-3.639 -7.151 2.708
-2.300 -4.250 5.845
-4.838 -4.086 4.451
-1.981 -4.284 8.992
-5.157 -4.053 1.304
0.213 -4.402 4.764
-0.271 -4.351 -0.019
-3.700 -6.269 5.139
-3.438 -2.068 5.158
-3.922 -2.017 0.375
-4.183 -6.218 0.357
0.484 -0.051 4.782
0.000 0.000 0.000

---

No. 3
Re2H4O9 | the Alexandria database | meta-GGA SCAN | single point on PBEsol structure; E_tot = -232.3 eV per formula unit
1.0
-4.568 1.894 -0.320
1.772 -2.736 -7.909
-3.461 -8.011 1.996
Re H O
4 8 18
Cartesian
-3.040 -2.812 -6.790
-3.171 -5.933 0.531
-1.998 -2.334 -3.074
-4.211 -6.408 -3.186
-4.992 -3.719 -0.345
-0.080 -2.391 -6.570
-1.217 -5.027 -5.915
-4.851 -3.908 -5.028
-6.132 -6.354 0.312
-2.963 -8.550 -0.306
-1.359 -4.836 -1.229
-3.247 -0.195 -5.955
-2.613 -2.484 -4.729
-3.598 -6.263 -1.529
-3.193 -1.573 -2.104
-3.014 -7.164 -4.157
-1.056 -1.995 -0.073
-5.154 -6.750 -6.186
-2.555 -4.467 -6.539
-4.699 -6.693 0.881
-3.653 -4.278 0.277
-1.513 -2.049 -7.139
-1.653 -3.925 -2.455
-5.661 -7.373 -3.168
-4.557 -4.815 -3.800
-0.547 -1.371 -3.097
-0.300 -5.185 -5.514
-6.953 -5.974 -0.144
-5.910 -3.563 -0.747
0.741 -2.772 -6.113

---

No. 4
SiSb2Ru | the Alexandria database | meta-GGA SCAN | single point on PBEsol structure; E_tot = -119.7 eV per formula unit; ΔE_f (raw) = -0.09 eV per atom
1.0
-1.718 3.542 -0.987
-1.891 -2.527 2.565
4.584 3.131 3.258
Ru Sb Si
1 2 1
Cartesian
-0.743 2.505 1.939
0.251 0.242 0.432
1.813 1.728 3.044
-0.803 0.480 3.121

---

No. 5
CrSb2ClO | the Alexandria database | meta-GGA SCAN | single point on PBEsol structure; E_tot = -101.3 eV per formula unit; ΔE_f (raw) = 1.16 eV per atom
1.0
4.262 0.000 0.000
0.000 5.257 0.000
0.000 0.000 5.257
Sb Cl O Cr
2 1 1 1
Cartesian
0.000 0.000 2.628
0.000 2.628 0.000
0.000 0.000 0.000
2.131 2.628 2.628
2.131 0.000 0.000

---

No. 6
BeAs3H | the Alexandria database | meta-GGA SCAN | single point on PBEsol structure; E_tot = -64.3 eV per formula unit
1.0
-3.178 2.596 0.528
-2.562 -2.802 -1.643
-0.673 -1.589 3.760
Be As H
1 3 1
Cartesian
-3.207 -0.898 1.323
-1.281 -1.401 -0.821
-0.337 -0.794 1.880
-1.589 1.298 0.264
0.000 0.000 0.000

---

No. 7
CaBe2Au | the Alexandria database | meta-GGA SCAN | single point on PBEsol structure; energy relative to the elements = -475.7 meV/atom; energy above the most stable polymorph in this dataset = 0.000 eV/atom; E_tot = -89.4 eV per formula unit
1.0
-3.504 1.658 -0.921
-2.662 0.754 2.867
-0.072 5.352 1.294
Be Ca Au
2 1 1
Cartesian
-1.932 1.087 0.689
-4.306 6.677 2.552
-3.119 3.882 1.620
0.000 0.000 0.000

---

No. 8
KLa2Tl | the Alexandria database | meta-GGA SCAN | single point on PBEsol structure; energy relative to the elements = -100.1 meV/atom; energy above the most stable polymorph in this dataset = 0.000 eV/atom; E_tot = -167.3 eV per formula unit
1.0
-1.316 3.305 -1.384
-0.541 -1.640 -3.404
-9.398 -2.594 2.743
K La Tl
1 2 1
Cartesian
-7.581 -1.004 -0.452
-0.505 -0.139 0.147
-3.503 0.122 -1.643
-4.365 -1.205 1.274

---

No. 9
NaVBP2H3O10 | the Alexandria database | meta-GGA SCAN | single point on PBEsol structure; E_tot = -162.7 eV per formula unit
1.0
6.597 0.016 -0.001
1.478 6.429 -0.001
3.116 2.487 8.221
Na V B P H O
2 2 2 4 6 20
Cartesian
5.671 5.970 6.164
5.520 2.963 2.054
3.299 0.008 0.000
2.297 4.458 4.110
2.420 6.847 2.054
8.771 2.086 6.164
6.479 5.880 2.647
2.464 2.674 1.461
4.712 3.053 5.572
8.727 6.259 6.757
2.521 5.335 0.622
3.872 6.414 3.487
8.670 3.598 7.597
7.319 2.519 4.732
4.857 1.252 4.110
0.739 3.215 0.000
2.939 6.216 0.825
2.920 6.201 3.284
8.252 2.717 7.394
8.271 2.732 4.935
5.506 5.457 1.545
3.092 3.530 2.564
5.685 3.476 6.674
8.099 5.403 5.655
7.554 6.851 2.060
1.279 1.842 2.048
3.637 2.082 6.158
9.912 7.091 6.170
3.562 1.758 0.913
7.129 4.606 3.196
7.629 7.174 7.306
4.062 4.327 5.023
5.730 6.691 3.747
1.838 3.585 0.361
5.461 2.241 4.471
9.353 5.348 7.857

---

No. 10
TaCd2Ni | the Alexandria database | meta-GGA SCAN | single point on PBEsol structure; energy relative to the elements = 382.4 meV/atom; E_tot = -142.1 eV per formula unit
1.0
-3.496 -1.367 1.031
-0.108 -2.164 -3.234
1.933 -3.316 2.155
Cd Ni Ta
2 1 1
Cartesian
-0.054 -1.082 -1.617
-1.748 -0.684 0.516
-0.835 -3.424 -0.024
0.966 -1.658 1.077

---

No. 11
SrAg2Te2 | the Alexandria database | meta-GGA SCAN | single point on PBEsol structure; E_tot = -163.3 eV per formula unit; ΔE_f (raw) = -0.76 eV per atom
1.0
4.216 0.000 0.000
0.000 4.216 0.000
-2.108 -2.108 7.430
Sr Te Ag
1 2 2
Cartesian
0.000 0.000 0.000
0.000 0.000 5.659
2.108 2.108 1.771
0.000 2.108 3.715
2.108 0.000 3.715

---

No. 12
NpF4 | the Alexandria database | meta-GGA SCAN | single point on PBEsol structure; E_tot = -140.2 eV per formula unit; ΔE_f (raw) = -3.80 eV per atom
1.0
8.243 -0.006 0.006
3.748 7.352 -0.002
-3.748 0.421 7.340
Np F
6 24
Cartesian
2.061 1.663 1.573
6.183 6.104 5.771
2.927 5.869 2.690
7.049 4.747 1.637
5.316 1.899 4.655
1.195 3.020 5.707
4.838 5.120 1.891
3.905 1.536 2.958
2.674 3.771 1.898
-0.717 2.179 5.006
-2.484 1.685 6.865
-0.217 4.735 5.972
4.338 6.231 4.387
2.061 4.676 4.417
6.183 3.092 2.928
6.795 5.659 3.686
6.606 6.947 1.290
1.637 0.820 6.054
5.570 3.996 5.447
3.405 2.647 5.454
0.302 0.333 2.009
5.996 3.673 0.002
3.820 2.022 0.220
8.460 3.032 1.373
1.448 2.109 3.659
10.728 6.083 0.480
7.942 7.434 5.336
8.960 5.588 2.338
4.424 5.746 7.124
-1.874 0.211 3.670